An optimized crystal structure of NdCu8Ni4, computed with PBE.

Geometry as POSCAR:
```
NdCu8Ni4
1.0
-4.1953 4.1953 2.4280
4.1953 -4.1953 2.4280
4.1953 4.1953 -2.4280
Nd Cu Ni
1 8 4
Cartesian
0.0000 0.0000 0.0000 Nd
2.9553 0.0000 0.0000 Cu
5.4353 0.0000 0.0000 Cu
4.1953 2.2932 0.0000 Cu
0.0000 2.9553 0.0000 Cu
2.2932 4.1953 0.0000 Cu
1.9021 0.0000 2.4280 Cu
0.0000 5.4353 0.0000 Cu
0.0000 1.9021 2.4280 Cu
2.0977 2.0977 -1.2140 Ni
2.0977 -2.0977 1.2140 Ni
-2.0977 2.0977 1.2140 Ni
2.0977 2.0977 1.2140 Ni
```

Values from the calculation:
- VASP energy: -4.76 eV/atom
- Energy of formation: -98 meV per atom
- Space-group type: I4/mmm, No. 139

An optimized crystal structure of MgTlTe2, computed with PBE.

Geometry as POSCAR:
```
MgTlTe2
1.0
2.2864 1.3200 7.9219
-2.2864 1.3200 7.9219
0.0000 -2.6401 7.9219
Mg Tl Te
1 1 2
Cartesian
0.0000 0.0000 0.0000 Mg
0.0000 0.0000 5.2647 Tl
0.0000 0.0000 11.7133 Te
0.0000 0.0000 16.5570 Te
```

Values from the calculation:
- VASP energy: -2.81 eV/atom
- E_form (uncorrected): -248 meV/atom
- Space-group type: R3m, No. 160

An optimized crystal structure of ThUPN2, computed with PBE.

Geometry as POSCAR:
```
ThUPN2
1.0
-1.9063 1.9063 6.0633
1.9063 -1.9063 6.0633
1.9063 1.9063 -6.0633
Th U P N
1 1 1 2
Cartesian
0.0000 0.0000 0.0000 Th
0.0000 0.0000 3.5705 U
0.0000 0.0000 7.8287 P
1.9063 0.0000 4.6492 N
0.0000 1.9063 4.6492 N
```

Values from the calculation:
- VASP energy: -9.56 eV/atom
- E_form (uncorrected): -1407 meV/atom
- Space-group type: I4mm, No. 107

| no. | D(E_F) (states/eV/atom) | theoretical density (kg/m3) |
| --- | --- | --- |
| 1 | 0.609 | 8620 |
| 2 | 0.622 | 5601 |
| 3 | 0.717 | 9968 |